Al2SiAg | PBE | relaxed

Cell: 2.978 3.949 5.718 Å, 90.00 90.00 90.00°
Fractional positions:
Si 0.000 0.000 0.462
Al 0.000 0.000 0.990
Al 0.500 0.500 0.270
Ag 0.500 0.500 0.777

Values from the calculation:
* E_form (uncorrected): 0.162 eV/atom
* calculated density: 4.69 g/cm3
* total magnetization: 0.00 μB/atom